! GGA+U Mg4Mo2O9, optimized geometry; values from VASP
! final energy	-197.0	eV/cell
! space group	C2/c, No. 15
&SYSTEM
  ibrav = 0, nat = 30, ntyp = 3
/
ATOMIC_SPECIES
Mg 24.30 Mg.upf
Mo 95.94 Mo.upf
O 16.00 O.upf
ATOMIC_POSITIONS angstrom
Mg 5.277 12.022 5.469
Mg 1.415 6.376 3.584
Mg -4.364 1.968 3.712
Mg -0.790 3.020 2.503
Mg -0.502 7.614 5.597
Mg -2.096 5.284 4.782
Mg 3.008 8.706 4.399
Mg 1.702 10.970 6.678
Mo 0.358 3.987 5.990
Mo 1.088 1.649 0.565
Mo 0.554 10.003 3.191
Mo -0.175 12.341 8.616
O 5.032 8.484 4.176
O 2.801 9.268 6.374
O 0.295 10.358 8.017
O -4.120 5.506 5.005
O -1.888 4.722 2.807
O 0.617 3.632 1.164
O -2.061 6.549 6.535
O -1.873 7.301 3.840
O 0.073 5.598 4.932
O -2.302 2.666 0.999
O -2.235 1.757 3.651
O -0.188 1.001 1.885
O 2.974 7.441 2.646
O 2.786 6.689 5.341
O 0.839 8.392 4.249
O 3.214 11.324 8.182
O 3.148 12.233 5.530
O 1.100 12.990 7.296
CELL_PARAMETERS angstrom
-4.382 2.700 0.740
-2.336 -0.058 4.655
7.630 11.349 3.786